No. 1
Entry from the Alexandria database: BaZn2 after structural relaxation (PBE-GGA).

The space group is P4/mmm (No. 123) and the conventional cell measures 3.820, 3.820 and 5.986 Å, with angles of 90.00, 90.00 and 90.00 degrees. Symmetry generates all atoms from Ba at (0.000, 0.000, 0.000) and Zn at (0.000, 0.500, 0.500).

For the spin magnetization, the calculation gives 0.00 μB per formula unit. The value obtained for the volume is 29.115 A^3/atom. As for the energy of formation: 0.1 eV/f.u. As for the calculated density: 5.10 Mg/m³. The total energy is -4.35 eV for the cell shown.

---

No. 2
Entry from the Alexandria database: SiHgBr after structural relaxation (PBE-GGA).

The space group is Fmm2 (No. 42) and the conventional cell measures 3.389, 6.028 and 15.334 Å, with angles of 90.00, 90.00 and 90.00 degrees. Symmetry generates all atoms from Si at (0.000, 0.000, 0.000), Hg at (0.000, 0.000, 0.336) and Br at (0.000, 0.000, 0.626).

The distance to the lowest polymorph of the same formula is 28.9 kJ per mole of atoms. For the spin magnetization, the calculation gives 0.00 μB per formula unit. For the uncorrected formation energy, the calculation gives 0.297 eV/atom. The value obtained for the volume is 26.103 A^3/atom. As for the calculated density: 6.54 Mg/m³. The total energy is -26.03 eV for the cell shown.

---

No. 3
Entry from the Alexandria database: Sm4IrSCl2 after structural relaxation (PBE-GGA).

The space group is P2/m (No. 10) and the conventional cell measures 7.288, 3.985 and 7.466 Å, with angles of 90.00, 108.15 and 90.00 degrees. Symmetry generates all atoms from Sm at (0.223, 0.000, 0.212), Sm at (0.261, 0.500, 0.788), Ir at (0.000, 0.500, 0.000), S at (0.500, 0.000, 0.000), Cl at (0.000, 0.000, 0.500) and Cl at (0.500, 0.500, 0.500).

For the spin magnetization, the calculation gives 0.00 μB per formula unit. For the uncorrected formation energy, the calculation gives -1.416 eV/atom. The value obtained for the volume is 25.758 A^3/atom. As for the calculated density: 7.23 Mg/m³. The total energy is -46.89 eV for the cell shown.